Record 1
A plane-wave DFT calculation with meta-GGA SCAN was carried out for a crystal of FePbW2N relaxed with PBEsol.

abc: 4.403 4.403 4.762
angles: 90.00 90.00 90.00
Site moments in Bohr magnetons follow the coordinates.
Sites, in units of the cell vectors:
Pb 0.000 0.000 0.500  -0.02
Fe 0.000 0.000 0.000  0.00
W 0.000 0.500 0.000  0.53
W 0.500 0.000 0.000  0.53
N 0.500 0.500 0.500  -0.09

Summary:
- Crystal system: tetragonal
- E_form (uncorrected): 2458 meV/atom
- Calculated volume: 18.47 Å³/atom
- DFT total energy: -46.057 eV per atom

---

Record 2
A plane-wave DFT calculation with meta-GGA SCAN was carried out for a crystal of FePdN3 relaxed with PBEsol.

abc: 3.619 3.619 3.619
angles: 90.00 90.00 90.00
Sites, in units of the cell vectors:
Fe 0.000 0.000 0.000
Pd 0.500 0.500 0.500
N 0.000 0.500 0.000
N 0.000 0.000 0.500
N 0.500 0.000 0.000

Summary:
- Crystal system: cubic
- E_form (uncorrected): 1373 meV/atom
- Calculated volume: 9.48 Å³/atom
- DFT total energy: -14.383 eV per atom

---

Record 3
A plane-wave DFT calculation with meta-GGA SCAN was carried out for a crystal of FePdSeN2 relaxed with PBEsol.

abc: 3.738 3.738 5.455
angles: 90.00 90.00 90.00
Site moments in Bohr magnetons follow the coordinates.
Sites, in units of the cell vectors:
N 0.000 0.500 0.000  -1.03
N 0.500 0.000 0.000  -1.03
Se 0.000 0.000 0.500  -0.06
Pd 0.000 0.000 0.000  -0.52
Fe 0.500 0.500 0.500  3.31

Summary:
- Crystal system: tetragonal
- E_form (uncorrected): 1362 meV/atom
- Calculated volume: 15.25 Å³/atom
- DFT total energy: -16.551 eV per atom

---

Record 4
A plane-wave DFT calculation with meta-GGA SCAN was carried out for a crystal of FeTePdN2 relaxed with PBEsol.

abc: 3.600 3.600 5.530
angles: 90.00 90.00 90.00
Sites, in units of the cell vectors:
Te 0.000 0.000 0.500
Fe 0.000 0.000 0.000
Pd 0.500 0.500 0.500
N 0.000 0.500 0.000
N 0.500 0.000 0.000

Summary:
- Crystal system: tetragonal
- E_form (uncorrected): 794 meV/atom
- Calculated volume: 14.33 Å³/atom
- DFT total energy: -20.554 eV per atom

---

Record 5
A plane-wave DFT calculation with meta-GGA SCAN was carried out for a crystal of FePtSeN2 relaxed with PBEsol.

abc: 3.511 3.511 5.397
angles: 90.00 90.00 90.00
Sites, in units of the cell vectors:
N 0.000 0.500 0.000
N 0.500 0.000 0.000
Se 0.000 0.000 0.500
Pt 0.500 0.500 0.500
Fe 0.000 0.000 0.000

Summary:
- Crystal system: tetragonal
- E_form (uncorrected): 923 meV/atom
- Calculated volume: 13.30 Å³/atom
- DFT total energy: -24.473 eV per atom

---

Record 6
A plane-wave DFT calculation with meta-GGA SCAN was carried out for a crystal of RbFeN relaxed with PBEsol.

abc: 3.491 6.460 10.542
angles: 90.00 90.00 90.00
Site moments in Bohr magnetons follow the coordinates.
Sites, in units of the cell vectors:
Rb 0.250 0.073 0.667  0.00
Rb 0.250 0.427 0.167  0.00
Rb 0.750 0.927 0.333  0.00
Rb 0.750 0.573 0.833  0.00
Fe 0.250 0.597 0.539  0.62
Fe 0.250 0.903 0.039  0.62
Fe 0.750 0.403 0.461  0.62
Fe 0.750 0.097 0.961  0.62
N 0.250 0.142 0.945  -0.09
N 0.250 0.358 0.445  -0.09
N 0.750 0.858 0.055  -0.09
N 0.750 0.642 0.555  -0.09

Summary:
- Crystal system: orthorhombic
- E_form (uncorrected): -13 meV/atom
- Calculated volume: 19.81 Å³/atom
- DFT total energy: -16.066 eV per atom